Tl2ReCl (PBE, optimized geometry); DOS(E_F) = 0.54 states/eV/atom; distance to the lowest polymorph of the same formula = 1.68 eV per formula unit
1.0
3.0461 0.0000 0.0000
0.0000 4.8245 0.0000
0.0000 0.0000 5.8310
Tl Re Cl
2 1 1
Direct
0.0000 0.0000 0.2479
0.0000 0.0000 0.7521
0.5000 0.5000 0.0000
0.5000 0.5000 0.5000